1.
Computed, not measured: a geometry-optimized CaNdNi structure at the PBE level of DFT.

```
CaNdNi
1.0
0.0000 3.4517 3.4517
3.4517 0.0000 3.4517
3.4517 3.4517 0.0000
Ca Nd Ni
1 1 1
Cartesian
0.0000 0.0000 0.0000 Ca
3.4517 3.4517 3.4517 Nd
1.7258 1.7258 1.7258 Ni
```

**Energy above the lowest structure with this stoichiometry**: 0.193 eV/atom
**Formation energy**: -5 kJ/mol of formula units
**Total magnetic moment**: 0.00 Bohr magnetons per cell
**D(E_F)**: 1.186 states/eV/atom

2.
Computed, not measured: a geometry-optimized TaCoPt2 structure at the PBE level of DFT.

```
TaCoPt2
1.0
-3.4836 3.4836 2.6815
3.4836 -3.4836 2.6815
3.4836 3.4836 -2.6815
Ta Co Pt
2 2 4
Cartesian
0.0000 0.0000 0.0000 Ta
0.0000 3.4836 1.3408 Ta
3.4836 0.0000 1.3408 Co
0.0000 0.0000 2.6815 Co
1.7418 -1.6645 2.0111 Pt
1.8191 1.7418 0.6704 Pt
1.7418 5.1482 -0.6704 Pt
1.6645 1.7418 3.3519 Pt
```

**Energy above the lowest structure with this stoichiometry**: 0.620 eV/atom
**Formation energy**: 9 kJ/mol of formula units
**Total magnetic moment**: 1.21 Bohr magnetons per cell
**D(E_F)**: 1.062 states/eV/atom

Which of these has the lowest D(E_F)?
TaCoPt2

What is the total magnetic moment in the second record?
1.21 Bohr magnetons per cell